A plane-wave DFT calculation with GGA-PBE was carried out for a geometry-optimized PrDy2Ru structure.

Properties
**Crystal system**: orthorhombic
**Energy relative to the lowest polymorph listed for this composition**: 0 meV per atom
**Energy of formation**: -25.7 kJ per mole of atoms
**SG**: Pnma, No. 62

a = 6.435 Å, b = 7.364 Å, c = 9.338 Å
α = 90.00°, β = 90.00°, γ = 90.00°
Sites, in units of the cell vectors:
Pr (0.635, 0.541, 0.250)
Pr (0.865, 0.041, 0.250)
Pr (0.365, 0.459, 0.750)
Pr (0.135, 0.959, 0.750)
Dy (0.167, 0.676, 0.067)
Dy (0.333, 0.176, 0.433)
Dy (0.833, 0.324, 0.567)
Dy (0.667, 0.824, 0.933)
Dy (0.833, 0.324, 0.933)
Dy (0.667, 0.824, 0.567)
Dy (0.167, 0.676, 0.433)
Dy (0.333, 0.176, 0.067)
Ru (0.056, 0.386, 0.250)
Ru (0.444, 0.886, 0.250)
Ru (0.944, 0.614, 0.750)
Ru (0.556, 0.114, 0.750)

A plane-wave DFT calculation with GGA-PBE was carried out for a geometry-optimized Fe2SiW structure.

Properties
**Formation energy from raw total energies**: 137 meV/atom
**Crystal system**: trigonal
**SG**: R3m, No. 160

a = 8.255 Å, b = 8.255 Å, c = 8.255 Å
α = 18.87°, β = 18.87°, γ = 18.87°
Sites, in units of the cell vectors:
Fe (0.994, 0.994, 0.994)
Fe (0.249, 0.249, 0.249)
Si (0.507, 0.507, 0.507)
W (0.750, 0.750, 0.750)

A plane-wave DFT calculation with GGA-PBE was carried out for a geometry-optimized Ti2CoNiSn2 structure.

Properties
**Crystal system**: trigonal
**Energy of formation**: -3.5 kJ per mole of atoms
**SG**: R3m, No. 160

a = 6.731 Å, b = 6.731 Å, c = 6.731 Å
α = 38.20°, β = 38.20°, γ = 38.20°
Sites, in units of the cell vectors:
Ti (0.153, 0.153, 0.153)
Ti (0.579, 0.579, 0.579)
Co (0.014, 0.014, 0.014)
Ni (0.452, 0.452, 0.452)
Sn (0.748, 0.748, 0.748)
Sn (0.304, 0.304, 0.304)

A plane-wave DFT calculation with GGA-PBE was carried out for a geometry-optimized ZnIBr2 structure.

Properties
**Formation energy from raw total energies**: -593 meV/atom
**Crystal system**: triclinic
**Energy relative to the lowest polymorph listed for this composition**: 43 meV per atom
**SG**: P1, No. 1

a = 7.351 Å, b = 7.354 Å, c = 7.515 Å
α = 70.53°, β = 64.21°, γ = 79.33°
Sites, in units of the cell vectors:
I (0.819, 0.952, 0.187)
I (0.680, 0.336, 0.015)
Zn (0.497, 0.840, 0.541)
Zn (0.535, 0.399, 0.404)
Br (0.289, 0.673, 0.470)
Br (0.548, 0.727, 0.860)
Br (0.300, 0.139, 0.611)
Br (0.833, 0.445, 0.422)

Number 1: spin magnetization 0.000 μB/cell. Number 2: spin magnetization 2.920 μB/cell. Number 3: spin magnetization 1.280 μB/cell. Number 4: spin magnetization 0.000 μB/cell.